No. 1
LiThB12 after structural relaxation, computed with PBE.

Geometry as extended XYZ:
```
14
Lattice="4.120 0.000 0.000 0.000 4.120 0.000 0.000 0.000 8.265" Properties=species:S:1:pos:R:3 pbc="T T T"
Li 0.000 0.000 4.133
Th 0.000 0.000 0.000
B 0.825 2.060 2.060
B 0.825 2.060 6.205
B 2.060 2.060 3.302
B 2.060 2.060 7.445
B 2.060 0.825 2.060
B 2.060 0.825 6.205
B 2.060 2.060 0.820
B 2.060 2.060 4.963
B 2.060 3.295 2.060
B 2.060 3.295 6.205
B 3.295 2.060 2.060
B 3.295 2.060 6.205
```

Calculated values
final energy: -6.70 eV per atom
E_form: -0.3142 eV/atom
density of states at the Fermi level: 0.073 states/eV/atom

No. 2
LaPdAu4 after structural relaxation, computed with PBE.

Geometry as extended XYZ:
```
12
Lattice="5.166 0.000 0.000 0.000 7.850 0.000 -2.583 0.000 6.564" Properties=species:S:1:pos:R:3 pbc="T T T"
La 0.000 5.888 4.956
La 2.583 1.963 1.608
Pd 0.000 5.888 1.952
Pd 2.583 1.963 4.611
Au 0.000 3.344 2.787
Au 2.583 4.506 3.777
Au 0.000 0.581 2.787
Au 2.583 7.269 3.777
Au 2.583 5.888 1.282
Au 0.000 1.963 5.281
Au 0.000 3.925 0.000
Au 0.000 0.000 0.000
```

Calculated values
final energy: -4.24 eV per atom
E_form: -0.3687 eV/atom
ΔE to the lowest computed polymorph: 128 meV/atom
density of states at the Fermi level: 0.481 states/eV/atom

No. 3
HfCu2Ni2 after structural relaxation, computed with PBE.

Geometry as extended XYZ:
```
10
Lattice="-4.451 1.480 0.110 1.424 -3.862 -2.251 0.258 -3.141 7.748" Properties=species:S:1:pos:R:3 pbc="T T T"
Hf -2.818 -3.468 4.503
Hf 0.049 -2.055 1.104
Cu 0.438 -5.071 1.679
Cu -1.153 -2.171 -1.607
Cu -3.206 -0.452 3.928
Cu -1.616 -3.352 7.214
Ni -0.302 -3.189 5.171
Ni -1.884 -0.297 1.881
Ni -0.885 -5.226 3.726
Ni -2.467 -2.334 0.436
```

Calculated values
final energy: -5.97 eV per atom
E_form: -0.0293 eV/atom
ΔE to the lowest computed polymorph: 123 meV/atom
density of states at the Fermi level: 0.782 states/eV/atom

No. 4
K3Rb after structural relaxation, computed with PBE.

Geometry as extended XYZ:
```
4
Lattice="-2.895 -1.607 -3.348 -3.839 -4.729 5.590 -1.642 9.028 0.396" Properties=species:S:1:pos:R:3 pbc="T T T"
K -3.740 1.312 2.605
K -3.376 -3.179 1.135
K -3.348 2.966 -1.840
Rb -3.837 -4.726 5.587
```

Calculated values
final energy: -1.06 eV per atom
E_form: 0.0052 eV/atom
density of states at the Fermi level: 0.795 states/eV/atom

No. 5
CdNiTe3 after structural relaxation, computed with PBE.

Geometry as extended XYZ:
```
5
Lattice="5.088 0.000 0.000 0.000 5.088 0.000 0.000 0.000 5.088" Properties=species:S:1:pos:R:3 pbc="T T T"
Ni 0.000 0.000 0.000
Te 0.000 2.544 0.000
Te 0.000 0.000 2.544
Te 2.544 0.000 0.000
Cd 2.544 2.544 2.544
```

Calculated values
final energy: -2.96 eV per atom
formation energy from raw total energies: 0.262 eV/atom
ΔE to the lowest computed polymorph: 0 meV/atom
density of states at the Fermi level: 1.260 states/eV/atom

No. 6
BiAsOsCl2 after structural relaxation, computed with PBE.

Geometry as extended XYZ:
```
5
Lattice="-3.846 -2.636 -1.115 2.098 -3.867 1.906 -2.000 1.069 4.371" Properties=species:S:1:pos:R:3 pbc="T T T"
As -1.000 0.535 2.185
Os 0.000 0.000 0.000
Bi -1.875 -2.717 2.581
Cl 1.049 -1.933 0.953
Cl -1.923 -1.318 -0.558
```

Calculated values
final energy: -4.27 eV per atom
formation energy from raw total energies: 0.423 eV/atom
density of states at the Fermi level: 0.734 states/eV/atom

- Among the records above, which one has the lowest final energy?
  LiThB12

- Among the records above, which one has the highest final energy?
  K3Rb

- Number 2 is which compound?
  LaPdAu4

- Among the records above, which one has the highest final energy?
  K3Rb